(1)
# SrNdMgTl | the Alexandria database | PBE | optimized geometry
data_SrNdMgTl
_chemical_formula_sum 'Sr1 Nd1 Mg1 Tl1'
_space_group_name_H-M_alt 'P 4 m m'
_space_group_IT_number 99
_space_group_name_Hall 'P 4 -2'
_cell_length_a 3.9976
_cell_length_b 3.9976
_cell_length_c 8.1069
_cell_angle_alpha 90.00
_cell_angle_beta 90.00
_cell_angle_gamma 90.00
loop_
_atom_site_label
_atom_site_type_symbol
_atom_site_fract_x
_atom_site_fract_y
_atom_site_fract_z
_atom_site_occupancy
Sr1 Sr 0.0000 0.0000 0.0000 1
Nd1 Nd 0.0000 0.0000 0.4953 1
Mg1 Mg 0.5000 0.5000 0.7242 1
Tl1 Tl 0.5000 0.5000 0.2678 1
# M_tot   0.00 Bohr magnetons per cell
# Energy relative to the lowest polymorph listed for this composition   0 meV/atom
# E_form   -0.24 eV per atom

=====

(2)
# CdCuIr2 | the Alexandria database | PBE | optimized geometry
data_CdCuIr2
_chemical_formula_sum 'Cd1 Cu1 Ir2'
_space_group_name_H-M_alt 'P m m m'
_space_group_IT_number 47
_space_group_name_Hall '-P 2 2'
_cell_length_a 2.7346
_cell_length_b 3.9190
_cell_length_c 5.7783
_cell_angle_alpha 90.00
_cell_angle_beta 90.00
_cell_angle_gamma 90.00
loop_
_atom_site_label
_atom_site_type_symbol
_atom_site_fract_x
_atom_site_fract_y
_atom_site_fract_z
_atom_site_occupancy
Cd1 Cd 0.0000 0.0000 0.0000 1
Cu1 Cu 0.0000 0.0000 0.5000 1
Ir1 Ir 0.5000 0.5000 0.2786 1
# M_tot   0.35 Bohr magnetons per cell
# E_form   0.33 eV per atom

=====

(3)
# TlBrF2 | the Alexandria database | PBE | optimized geometry
data_TlBrF2
_chemical_formula_sum 'Tl4 Br4 F8'
_space_group_name_H-M_alt 'F m -3 m'
_space_group_IT_number 225
_space_group_name_Hall '-F 4 2 3'
_cell_length_a 6.5138
_cell_length_b 6.5138
_cell_length_c 6.5138
_cell_angle_alpha 90.00
_cell_angle_beta 90.00
_cell_angle_gamma 90.00
loop_
_atom_site_label
_atom_site_type_symbol
_atom_site_fract_x
_atom_site_fract_y
_atom_site_fract_z
_atom_site_occupancy
Tl1 Tl 0.0000 0.0000 0.0000 1
Br1 Br 0.0000 0.0000 0.5000 1
F1 F 0.2500 0.2500 0.2500 1
# M_tot   2.81 Bohr magnetons per cell
# Energy relative to the lowest polymorph listed for this composition   622 meV/atom
# Formation energy without anion corrections   -717 meV/atom

=====

(4)
# ScNiBiRu | the Alexandria database | PBE | optimized geometry
data_ScNiBiRu
_chemical_formula_sum 'Sc4 Ni4 Bi4 Ru4'
_space_group_name_H-M_alt 'F -4 3 m'
_space_group_IT_number 216
_space_group_name_Hall 'F -4 2 3'
_cell_length_a 6.4983
_cell_length_b 6.4983
_cell_length_c 6.4983
_cell_angle_alpha 90.00
_cell_angle_beta 90.00
_cell_angle_gamma 90.00
loop_
_atom_site_label
_atom_site_type_symbol
_atom_site_fract_x
_atom_site_fract_y
_atom_site_fract_z
_atom_site_occupancy
Sc1 Sc 0.0000 0.0000 0.0000 1
Ni1 Ni 0.2500 0.2500 0.7500 1
Bi1 Bi 0.0000 0.0000 0.5000 1
Ru1 Ru 0.2500 0.2500 0.2500 1
# M_tot   0.00 Bohr magnetons per cell
# E_form   -0.16 eV per atom

=====

(5)
# BaSc2As | the Alexandria database | PBE | optimized geometry
data_BaSc2As
_chemical_formula_sum 'Ba2 Sc4 As2'
_space_group_name_H-M_alt 'C 1 m 1'
_space_group_IT_number 8
_space_group_name_Hall 'C -2y'
_cell_length_a 11.5938
_cell_length_b 3.6973
_cell_length_c 6.5485
_cell_angle_alpha 90.00
_cell_angle_beta 120.13
_cell_angle_gamma 90.00
loop_
_atom_site_label
_atom_site_type_symbol
_atom_site_fract_x
_atom_site_fract_y
_atom_site_fract_z
_atom_site_occupancy
Ba1 Ba 0.0000 0.0000 0.0000 1
Sc1 Sc 0.1565 0.0000 0.6612 1
Sc2 Sc 0.3710 0.0000 0.3684 1
As1 As 0.2321 0.5000 0.4579 1
# M_tot   0.07 Bohr magnetons per cell
# E_form   -0.39 eV per atom

=====

(6)
# Pm2Pr7Dy | the Alexandria database | PBE | optimized geometry
data_Pm2Pr7Dy
_chemical_formula_sum 'Pm4 Pr14 Dy2'
_space_group_name_H-M_alt 'C m m m'
_space_group_IT_number 65
_space_group_name_Hall '-C 2 2'
_cell_length_a 12.2024
_cell_length_b 17.0621
_cell_length_c 3.5711
_cell_angle_alpha 90.00
_cell_angle_beta 90.00
_cell_angle_gamma 90.00
loop_
_atom_site_label
_atom_site_type_symbol
_atom_site_fract_x
_atom_site_fract_y
_atom_site_fract_z
_atom_site_occupancy
Pm1 Pm 0.0000 0.1677 0.0000 1
Pr1 Pr 0.0000 0.3221 0.5000 1
Pr2 Pr 0.0000 0.5000 0.0000 1
Pr3 Pr 0.2457 0.3732 0.0000 1
Dy1 Dy 0.0000 0.0000 0.5000 1
# M_tot   0.00 Bohr magnetons per cell
# Energy relative to the lowest polymorph listed for this composition   0 meV/atom
# E_form   0.36 eV per atom

=====

no.,D(E_F) (states/eV/atom)
1,0.7961
2,1.7551
3,1.4239
4,1.0301
5,1.4827
6,1.4828